Entry 1:
{"formula": "LiYSbAu", "functional": "GGA-PBE", "state": "optimized geometry", "spacegroup": "F-43m (216)", "dos_ef_per_ev_cell": 1.58, "e_tot_ev_per_atom": -4.691, "e_form_raw_mev_per_atom": -747, "cell": [[0.0000, 3.5654, 3.5654], [3.5654, 0.0000, 3.5654], [3.5654, 3.5654, 0.0000]], "species": ["Li", "Y", "Sb", "Au"], "fractional_positions": [[0.0000, 0.0000, 0.0000], [0.5000, 0.5000, 0.5000], [0.2500, 0.2500, 0.2500], [0.7500, 0.7500, 0.7500]]}



Entry 2:
{"formula": "CuTe2Pb", "functional": "GGA-PBE", "state": "optimized geometry", "spacegroup": "R3m (160)", "dos_ef_per_ev_cell": 2.11, "e_tot_ev_per_atom": -3.605, "e_form_raw_mev_per_atom": -83, "cell": [[2.0541, 1.1859, 7.4111], [-2.0541, 1.1859, 7.4111], [0.0000, -2.3719, 7.4111]], "species": ["Cu", "Te", "Te", "Pb"], "fractional_positions": [[0.0000, 0.0000, 0.0000], [0.3962, 0.3962, 0.3962], [0.5986, 0.5986, 0.5986], [0.8335, 0.8335, 0.8335]]}



Entry 3:
{"formula": "Pa2InAu", "functional": "GGA-PBE", "state": "optimized geometry", "formation_enthalpy_0k_ev_per_atom": -0.16, "spacegroup": "P4/mmm (123)", "dos_ef_per_ev_cell": 7.15, "e_tot_ev_per_atom": -6.408, "cell": [[3.2140, 0.0000, 0.0000], [0.0000, 3.2140, 0.0000], [0.0000, 0.0000, 9.1288]], "species": ["Pa", "Pa", "In", "Au"], "fractional_positions": [[0.0000, 0.0000, 0.2372], [0.0000, 0.0000, 0.7628], [0.5000, 0.5000, 0.5000], [0.5000, 0.5000, 0.0000]]}



Entry 4:
{"formula": "PmEr2Sc6", "functional": "GGA-PBE", "state": "optimized geometry", "formation_enthalpy_0k_ev_per_atom": 0.86, "spacegroup": "P4_2/mnm (136)", "dos_ef_per_ev_cell": 34.15, "e_tot_ev_per_atom": -4.905, "cell": [[7.7980, 0.0000, 0.0000], [0.0000, 7.7980, 0.0000], [0.0000, 0.0000, 9.6651]], "species": ["Pm", "Pm", "Er", "Er", "Er", "Er", "Sc", "Sc", "Sc", "Sc", "Sc", "Sc", "Sc", "Sc", "Sc", "Sc", "Sc", "Sc"], "fractional_positions": [[0.0000, 0.0000, 0.0000], [0.5000, 0.5000, 0.5000], [0.0000, 0.0000, 0.3328], [0.0000, 0.0000, 0.6672], [0.5000, 0.5000, 0.1672], [0.5000, 0.5000, 0.8328], [0.2377, 0.2377, 0.5000], [0.2395, 0.2395, 0.1645], [0.2395, 0.2395, 0.8355], [0.2605, 0.7395, 0.3355], [0.2605, 0.7395, 0.6645], [0.2623, 0.7377, 0.0000], [0.7377, 0.2623, 0.0000], [0.7395, 0.2605, 0.3355], [0.7395, 0.2605, 0.6645], [0.7605, 0.7605, 0.1645], [0.7605, 0.7605, 0.8355], [0.7623, 0.7623, 0.5000]]}



Entry 5:
{"formula": "Nb8ZnS2", "functional": "GGA-PBE", "state": "optimized geometry", "spacegroup": "C2/m (12)", "dos_ef_per_ev_cell": 9.15, "e_tot_ev_per_atom": -8.082, "e_form_raw_mev_per_atom": 108, "cell": [[5.9265, -3.7929, 0.0000], [5.9265, 3.7929, 0.0000], [-0.2213, 0.0000, 4.7614]], "species": ["Nb", "Nb", "Nb", "Nb", "Nb", "Nb", "Nb", "Nb", "Zn", "S", "S"], "fractional_positions": [[0.1065, 0.1065, 0.7581], [0.1124, 0.6992, 0.7501], [0.2837, 0.2837, 0.3039], [0.3008, 0.8876, 0.2499], [0.6992, 0.1124, 0.7501], [0.7163, 0.7163, 0.6961], [0.8876, 0.3008, 0.2499], [0.8935, 0.8935, 0.2419], [0.5000, 0.5000, 0.5000], [0.3178, 0.3178, 0.8127], [0.6822, 0.6822, 0.1873]]}



Entry 6:
{"formula": "Mg8Ag2Ru", "functional": "GGA-PBE", "state": "optimized geometry", "formation_enthalpy_0k_ev_per_atom": -0.09, "spacegroup": "C2/m (12)", "dos_ef_per_ev_cell": 4.23, "e_tot_ev_per_atom": -2.615, "cell": [[7.5379, -2.3087, 0.0000], [7.5379, 2.3087, 0.0000], [-2.7534, 0.0000, 6.2478]], "species": ["Mg", "Mg", "Mg", "Mg", "Mg", "Mg", "Mg", "Mg", "Ag", "Ag", "Ru"], "fractional_positions": [[0.0212, 0.0212, 0.2773], [0.1702, 0.1702, 0.7191], [0.3411, 0.3411, 0.5884], [0.3886, 0.3886, 0.0751], [0.6114, 0.6114, 0.9249], [0.6589, 0.6589, 0.4116], [0.8298, 0.8298, 0.2809], [0.9788, 0.9788, 0.7227], [0.1927, 0.1927, 0.1712], [0.8073, 0.8073, 0.8288], [0.5000, 0.5000, 0.5000]]}



Entry 7:
{"formula": "Tl2CdIn2", "functional": "GGA-PBE", "state": "optimized geometry", "formation_enthalpy_0k_ev_per_atom": 0.12, "spacegroup": "P4/mbm (127)", "dos_ef_per_ev_cell": 5.38, "e_tot_ev_per_atom": -2.108, "cell": [[8.7076, 0.0000, 0.0000], [0.0000, 8.7076, 0.0000], [0.0000, 0.0000, 3.9733]], "species": ["Tl", "Tl", "Tl", "Tl", "Cd", "Cd", "In", "In", "In", "In"], "fractional_positions": [[0.1672, 0.3328, 0.0000], [0.3328, 0.8328, 0.0000], [0.6672, 0.1672, 0.0000], [0.8328, 0.6672, 0.0000], [0.0000, 0.0000, 0.0000], [0.5000, 0.5000, 0.0000], [0.1330, 0.6330, 0.5000], [0.3670, 0.1330, 0.5000], [0.6330, 0.8670, 0.5000], [0.8670, 0.3670, 0.5000]]}



Entry 8:
{"formula": "La2AlAu2", "functional": "GGA-PBE", "state": "optimized geometry", "formation_enthalpy_0k_ev_per_atom": -0.49, "spacegroup": "I4/mmm (139)", "dos_ef_per_ev_cell": 4.54, "e_tot_ev_per_atom": -4.520, "cell": [[-2.9746, 2.9746, 3.9743], [2.9746, -2.9746, 3.9743], [2.9746, 2.9746, -3.9743]], "species": ["La", "La", "Al", "Au", "Au"], "fractional_positions": [[0.2500, 0.7500, 0.5000], [0.7500, 0.2500, 0.5000], [0.0000, 0.0000, 0.0000], [0.3341, 0.3341, 0.0000], [0.6659, 0.6659, 0.0000]]}



Entry 9:
{"formula": "LaTmPb2", "functional": "GGA-PBE", "state": "optimized geometry", "formation_enthalpy_0k_ev_per_atom": -0.36, "spacegroup": "R-3m (166)", "dos_ef_per_ev_cell": 2.82, "e_tot_ev_per_atom": -4.561, "cell": [[1.8900, 1.0912, 10.0377], [-1.8900, 1.0912, 10.0377], [0.0000, -2.1824, 10.0377]], "species": ["La", "Tm", "Pb", "Pb"], "fractional_positions": [[0.0000, 0.0000, 0.0000], [0.5000, 0.5000, 0.5000], [0.2454, 0.2454, 0.2454], [0.7546, 0.7546, 0.7546]]}



Entry 10:
{"formula": "CdFe2Tc", "functional": "GGA-PBE", "state": "optimized geometry", "formation_enthalpy_0k_ev_per_atom": 0.30, "spacegroup": "Pmmm (47)", "dos_ef_per_ev_cell": 3.71, "e_tot_ev_per_atom": -6.753, "cell": [[2.7724, 0.0000, 0.0000], [0.0000, 3.6569, 0.0000], [0.0000, 0.0000, 5.7594]], "species": ["Cd", "Fe", "Fe", "Tc"], "fractional_positions": [[0.0000, 0.0000, 0.0000], [0.5000, 0.5000, 0.2933], [0.5000, 0.5000, 0.7067], [0.0000, 0.0000, 0.5000]]}



Entry 11:
{"formula": "La2SiPt", "functional": "GGA-PBE", "state": "optimized geometry", "spacegroup": "F-43m (216)", "dos_ef_per_ev_cell": 4.16, "e_tot_ev_per_atom": -5.713, "e_form_raw_mev_per_atom": -383, "cell": [[0.0000, 3.5638, 3.5638], [3.5638, 0.0000, 3.5638], [3.5638, 3.5638, 0.0000]], "species": ["La", "La", "Si", "Pt"], "fractional_positions": [[0.0000, 0.0000, 0.0000], [0.2500, 0.2500, 0.2500], [0.5000, 0.5000, 0.5000], [0.7500, 0.7500, 0.7500]]}



Entry 12:
{"formula": "Sr2MgTlN", "functional": "GGA-PBE", "state": "optimized geometry", "spacegroup": "P4/mmm (123)", "dos_ef_per_ev_cell": 4.18, "e_tot_ev_per_atom": -3.567, "e_form_raw_mev_per_atom": -437, "cell": [[5.4945, 0.0000, 0.0000], [0.0000, 5.4945, 0.0000], [0.0000, 0.0000, 4.2299]], "species": ["Sr", "Sr", "Mg", "Tl", "N"], "fractional_positions": [[0.0000, 0.5000, 0.0000], [0.5000, 0.0000, 0.0000], [0.0000, 0.0000, 0.5000], [0.5000, 0.5000, 0.5000], [0.0000, 0.0000, 0.0000]]}



Copy entry 6 word for word.
{"formula": "Mg8Ag2Ru", "functional": "GGA-PBE", "state": "optimized geometry", "formation_enthalpy_0k_ev_per_atom": -0.09, "spacegroup": "C2/m (12)", "dos_ef_per_ev_cell": 4.23, "e_tot_ev_per_atom": -2.615, "cell": [[7.5379, -2.3087, 0.0000], [7.5379, 2.3087, 0.0000], [-2.7534, 0.0000, 6.2478]], "species": ["Mg", "Mg", "Mg", "Mg", "Mg", "Mg", "Mg", "Mg", "Ag", "Ag", "Ru"], "fractional_positions": [[0.0212, 0.0212, 0.2773], [0.1702, 0.1702, 0.7191], [0.3411, 0.3411, 0.5884], [0.3886, 0.3886, 0.0751], [0.6114, 0.6114, 0.9249], [0.6589, 0.6589, 0.4116], [0.8298, 0.8298, 0.2809], [0.9788, 0.9788, 0.7227], [0.1927, 0.1927, 0.1712], [0.8073, 0.8073, 0.8288], [0.5000, 0.5000, 0.5000]]}



Number 1 is which compound? LiYSbAu



What did the sixth record say?
{"formula": "Mg8Ag2Ru", "functional": "GGA-PBE", "state": "optimized geometry", "formation_enthalpy_0k_ev_per_atom": -0.09, "spacegroup": "C2/m (12)", "dos_ef_per_ev_cell": 4.23, "e_tot_ev_per_atom": -2.615, "cell": [[7.5379, -2.3087, 0.0000], [7.5379, 2.3087, 0.0000], [-2.7534, 0.0000, 6.2478]], "species": ["Mg", "Mg", "Mg", "Mg", "Mg", "Mg", "Mg", "Mg", "Ag", "Ag", "Ru"], "fractional_positions": [[0.0212, 0.0212, 0.2773], [0.1702, 0.1702, 0.7191], [0.3411, 0.3411, 0.5884], [0.3886, 0.3886, 0.0751], [0.6114, 0.6114, 0.9249], [0.6589, 0.6589, 0.4116], [0.8298, 0.8298, 0.2809], [0.9788, 0.9788, 0.7227], [0.1927, 0.1927, 0.1712], [0.8073, 0.8073, 0.8288], [0.5000, 0.5000, 0.5000]]}